No. 1
First-principles (PBE) data for a relaxed Sm2Mg4Sc crystal, as listed in Alexandria.

```
Sm2Mg4Sc
1.0
-1.062 2.057 -4.824
2.657 -4.033 -2.305
-7.585 -3.295 3.233
Mg Sm Sc
4 2 1
Direct
0.180 0.180 0.360
0.820 0.820 0.640
0.000 0.500 0.000
0.500 0.000 0.000
0.389 0.389 0.779
0.611 0.611 0.221
0.000 0.000 0.000
```

Output
The energy is -2.6892 eV per atom. Its crystal system is tetragonal. The formation enthalpy at 0 K comes out at 474.8 meV/atom. The space group is I4/mmm (139). The calculation puts the density of states at the Fermi level at 9.35 states/eV/f.u. The energy above the most stable polymorph in this dataset is 3.136 eV per formula unit.



No. 2
First-principles (PBE) data for a relaxed InSb2Rh crystal, as listed in Alexandria.

```
InSb2Rh
1.0
-2.048 0.021 -2.585
1.947 -3.732 -1.572
-3.145 -5.362 2.449
In Sb Rh
1 2 1
Direct
0.000 0.176 0.517
0.000 0.897 0.080
0.500 0.565 0.743
0.500 0.362 0.160
```

Output
The energy is -4.6465 eV per atom. Its crystal system is monoclinic. The energy relative to the elements, uncorrected comes out at -0.06 eV/atom. The space group is Pm (6). The calculation puts the density of states at the Fermi level at 2.28 states/eV/f.u.



No. 3
First-principles (PBE) data for a relaxed La2Pr3Pb3 crystal, as listed in Alexandria.

```
La2Pr3Pb3
1.0
-0.520 -3.389 -6.097
8.222 -4.480 1.788
-8.243 -3.852 2.844
Pr La Pb
6 4 6
Direct
0.750 0.000 0.240
0.250 0.240 0.240
0.250 0.760 0.000
0.750 0.760 0.760
0.250 0.000 0.760
0.750 0.240 0.000
0.000 0.667 0.333
0.500 0.667 0.333
0.500 0.333 0.667
0.000 0.333 0.667
0.250 0.392 0.000
0.750 0.000 0.608
0.750 0.392 0.392
0.750 0.608 0.000
0.250 0.608 0.608
0.250 0.000 0.392
```

Output
The energy is -4.9594 eV per atom. Its crystal system is hexagonal. The formation enthalpy at 0 K comes out at -544.6 meV/atom. The space group is P6_3/mcm (193). The calculation puts the density of states at the Fermi level at 8.69 states/eV/f.u.



No. 4
First-principles (PBE) data for a relaxed K3Np2RhS6 crystal, as listed in Alexandria.

```
K3Np2RhS6
1.0
-1.870 -1.840 6.212
5.107 -3.166 -3.060
3.676 6.559 1.828
S K Np Rh
6 3 2 1
Direct
0.065 0.384 0.196
0.384 0.065 0.196
0.253 0.253 0.804
0.747 0.747 0.196
0.935 0.616 0.804
0.616 0.935 0.804
0.833 0.167 0.500
0.500 0.500 0.500
0.167 0.833 0.500
0.333 0.667 0.000
0.667 0.333 0.000
0.000 0.000 0.000
```

Output
The energy is -6.2433 eV per atom. Its crystal system is monoclinic. The energy relative to the elements, uncorrected comes out at -1.14 eV/atom. The space group is C2/m (12). The calculation puts the density of states at the Fermi level at 15.83 states/eV/f.u.



No. 5
First-principles (PBE) data for a relaxed Ta2CuCSe crystal, as listed in Alexandria.

```
Ta2CuCSe
1.0
4.763 0.000 0.000
0.000 4.173 0.000
0.000 0.000 4.763
C Se Ta Cu
1 1 2 1
Direct
0.500 0.500 0.500
0.000 0.500 0.000
0.000 0.000 0.500
0.500 0.000 0.000
0.000 0.000 0.000
```

Output
The energy is -5.7840 eV per atom. Its crystal system is tetragonal. The energy relative to the elements, uncorrected comes out at 2.32 eV/atom. The space group is P4/mmm (123). The calculation puts the density of states at the Fermi level at 3.61 states/eV/f.u.



No. 6
First-principles (PBE) data for a relaxed ZrPb2 crystal, as listed in Alexandria.

```
ZrPb2
1.0
1.707 5.751 -0.020
-1.707 5.751 -0.020
0.000 2.831 8.143
Pb Zr
4 2
Direct
0.479 0.479 0.824
0.853 0.853 0.554
0.147 0.147 0.446
0.521 0.521 0.176
0.203 0.203 0.868
0.797 0.797 0.132
```

Output
The energy is -5.3471 eV per atom. Its crystal system is monoclinic. The formation enthalpy at 0 K comes out at -25.5 meV/atom. The space group is C2/m (12). The calculation puts the density of states at the Fermi level at 1.76 states/eV/f.u.



No. 7
First-principles (PBE) data for a relaxed BaPHS2 crystal, as listed in Alexandria.

```
BaPHS2
1.0
5.239 0.000 0.000
0.000 5.239 0.000
0.000 0.000 3.499
S H P Ba
2 1 1 1
Direct
0.500 0.000 0.000
0.000 0.500 0.000
0.000 0.000 0.000
0.000 0.000 0.500
0.500 0.500 0.500
```

Output
The energy is -3.9105 eV per atom. Its crystal system is tetragonal. The space group is P4/mmm (123). The calculation puts the density of states at the Fermi level at 3.77 states/eV/f.u. The energy above the most stable polymorph in this dataset is 0.000 eV per formula unit.



No. 8
First-principles (PBE) data for a relaxed CeFeCo crystal, as listed in Alexandria.

```
CeFeCo
1.0
-6.001 1.423 -3.789
4.039 -6.006 -0.018
-1.814 0.401 5.621
Fe Ce Co
4 4 4
Direct
0.094 0.906 0.500
0.844 0.156 0.000
0.156 0.844 0.000
0.406 0.594 0.500
0.625 0.875 0.250
0.125 0.375 0.750
0.625 0.375 0.750
0.625 0.375 0.250
0.125 0.625 0.249
0.875 0.875 0.749
0.125 0.125 0.251
0.375 0.875 0.751
```

Output
The energy is -7.0278 eV per atom. Its crystal system is orthorhombic. The formation enthalpy at 0 K comes out at 139.6 meV/atom. The space group is Fddd (70). The calculation puts the density of states at the Fermi level at 4.31 states/eV/f.u.